# 1
# MgBeAu

MgBeAu after structural relaxation (PBE-GGA, Alexandria via LeMat-Bulk).

Geometry as POSCAR:
```
MgBeAu
1.0
-0.611 0.618 2.974
-1.804 -1.964 -1.576
3.516 -4.571 1.672
Mg Be Au
1 1 1
Cartesian
0.894 -4.094 1.034 Mg
0.056 -1.628 1.964 Be
0.151 -0.196 0.072 Au
```

Output
Volume, Å³ per atom: 16.636
Density of states at the Fermi level, states/eV/f.u.: 1.09
M_tot, Bohr magnetons per cell: 0.000
Raw total energy, eV/atom: -2.784
E above lowest polymorph, eV/atom: 0.303

# 2
# Mg2BeAu

Mg2BeAu after structural relaxation (PBE-GGA, Alexandria via LeMat-Bulk).

Geometry as POSCAR:
```
Mg2BeAu
1.0
-8.037 -0.978 0.787
-6.955 -4.145 0.781
-6.895 -2.361 3.613
Mg Be Au
2 1 1
Cartesian
-5.201 -1.779 1.231 Mg
-0.366 -0.125 0.087 Mg
-16.720 -5.717 3.958 Be
-10.544 -3.605 2.496 Au
```

Output
Volume, Å³ per atom: 19.166
Density of states at the Fermi level, states/eV/f.u.: 1.03
M_tot, Bohr magnetons per cell: 0.000
Raw total energy, eV/atom: -2.505

# 3
# Mg2BeAu2

Mg2BeAu2 after structural relaxation (PBE-GGA, Alexandria via LeMat-Bulk).

Geometry as POSCAR:
```
Mg2BeAu2
1.0
-4.984 -1.711 -3.697
-2.332 -3.590 4.807
-2.209 3.347 1.428
Mg Au Be
4 4 2
Cartesian
-3.452 -0.977 3.297 Mg
-3.168 0.515 0.238 Mg
-6.073 -0.977 -0.758 Mg
-6.357 -2.469 2.300 Mg
-3.650 -1.695 -1.673 Au
-1.586 -1.498 1.058 Au
-3.667 -3.607 2.783 Au
-5.731 -3.804 0.052 Au
-3.658 -2.651 0.555 Be
0.000 0.000 0.000 Be
```

Output
Volume, Å³ per atom: 17.638
Density of states at the Fermi level, states/eV/f.u.: 1.69
M_tot, Bohr magnetons per cell: 0.000
Raw total energy, eV/atom: -2.994

# 4
# Mg2Be2Au5

Mg2Be2Au5 after structural relaxation (PBE-GGA, Alexandria via LeMat-Bulk).

Geometry as POSCAR:
```
Mg2Be2Au5
1.0
-0.357 4.730 -4.545
7.260 -1.449 -2.080
-6.527 -3.062 -2.674
Mg Au Be
4 10 4
Cartesian
-2.801 -0.240 -4.778 Mg
3.176 0.459 -4.520 Mg
-3.539 -2.713 -2.545 Mg
4.272 -1.799 -2.208 Mg
0.000 0.000 0.000 Au
1.777 1.161 -6.869 Au
-1.096 -2.386 -5.587 Au
1.782 -0.571 -2.292 Au
-1.712 2.232 -3.848 Au
0.188 0.109 -4.649 Au
-1.401 -0.943 -2.429 Au
2.087 -2.013 -5.450 Au
1.472 2.604 -3.711 Au
-1.407 0.789 -7.006 Au
-0.042 2.456 -5.688 Be
0.409 -0.922 -6.987 Be
0.417 -2.237 -3.610 Be
-0.034 1.140 -2.311 Be
```

Output
Volume, Å³ per atom: 16.719
Density of states at the Fermi level, states/eV/f.u.: 2.73
M_tot, Bohr magnetons per cell: 0.000
Raw total energy, eV/atom: -3.240

# 5
# MgBeAu4

MgBeAu4 after structural relaxation (PBE-GGA, Alexandria via LeMat-Bulk).

Geometry as POSCAR:
```
MgBeAu4
1.0
3.950 0.000 0.000
0.000 3.950 0.000
0.000 0.000 7.116
Au Mg Be
4 1 1
Cartesian
0.000 1.975 5.064 Au
1.975 0.000 2.051 Au
1.975 0.000 5.064 Au
0.000 1.975 2.051 Au
0.000 0.000 0.000 Mg
1.975 1.975 3.558 Be
```

Output
Volume, Å³ per atom: 18.505
Density of states at the Fermi level, states/eV/f.u.: 1.76
M_tot, Bohr magnetons per cell: 0.000
Raw total energy, eV/atom: -3.294
E above lowest polymorph, eV/atom: 0.000

# 6
# MgBeAu4

MgBeAu4 after structural relaxation (PBE-GGA, Alexandria via LeMat-Bulk).

Geometry as POSCAR:
```
MgBeAu4
1.0
6.603 0.958 -2.154
-1.276 5.312 -1.543
-1.367 -1.008 6.770
Au Be Mg
8 2 2
Cartesian
2.635 2.321 4.484 Au
-1.453 3.534 2.124 Au
1.325 2.941 -1.412 Au
1.980 4.974 3.718 Au
1.980 0.288 -0.646 Au
5.413 1.728 0.948 Au
2.518 1.308 1.892 Au
1.442 3.954 1.180 Au
2.749 4.936 -0.783 Be
1.210 0.326 3.855 Be
3.971 3.647 2.388 Mg
-0.012 1.615 0.684 Mg
```

Output
Volume, Å³ per atom: 18.257
Density of states at the Fermi level, states/eV/f.u.: 1.75
M_tot, Bohr magnetons per cell: 0.000
Raw total energy, eV/atom: -3.275
E above lowest polymorph, eV/atom: 0.020

# 7
# Mg2BeAu

Mg2BeAu after structural relaxation (PBE-GGA, Alexandria via LeMat-Bulk).

Geometry as POSCAR:
```
Mg2BeAu
1.0
8.529 -0.120 -0.070
7.998 2.962 -0.070
7.998 1.376 2.624
Mg Au Be
2 1 1
Cartesian
0.146 0.025 0.015 Mg
12.116 2.084 1.227 Mg
6.131 1.055 0.621 Au
18.394 3.164 1.863 Be
```

Output
Volume, Å³ per atom: 17.652
Density of states at the Fermi level, states/eV/f.u.: 1.22
M_tot, Bohr magnetons per cell: 0.000
Raw total energy, eV/atom: -2.430

# 8
# Mg2BeAu

Mg2BeAu after structural relaxation (PBE-GGA, Alexandria via LeMat-Bulk).

Geometry as POSCAR:
```
Mg2BeAu
1.0
-1.452 0.148 2.769
2.570 -1.103 1.407
2.346 6.584 0.878
Be Mg Au
1 2 1
Cartesian
2.202 4.135 2.703 Be
2.247 6.307 0.841 Mg
1.233 1.414 2.340 Mg
1.300 3.650 0.487 Au
```

Output
Volume, Å³ per atom: 17.256
Density of states at the Fermi level, states/eV/f.u.: 1.32
M_tot, Bohr magnetons per cell: 0.000
Raw total energy, eV/atom: -2.676

ΔH_f (0 K): 0.0821, 0.0436, -0.2995, -0.2370, -0.2228, -0.2032, 0.1182, -0.1274 (eV per atom)